(1)
SbSeN2O | PBE | optimized geometry

abc: 4.129 4.129 3.844
angles: 90.00 90.00 90.00
Space group P4/mmm (No. 123)
Unique sites:
Sb: 0.000 0.000 0.000
Se: 0.500 0.500 0.500
N: 0.000 0.500 0.000
O: 0.000 0.000 0.500

D(E_F)	2.61	states/eV per cell
crystal system	tetragonal

(2)
Rb3Na2US6 | PBE | optimized geometry

abc: 7.329 12.671 7.884
angles: 90.00 107.79 90.00
Space group C2/m (No. 12)
Unique sites:
Rb: 0.000 0.000 0.000
Rb: 0.000 0.322 0.000
Na: 0.000 0.166 0.500
U: 0.000 0.500 0.500
S: 0.210 0.355 0.693
S: 0.221 0.500 0.302

D(E_F)	23.80	states/eV per cell
crystal system	monoclinic

(3)
K4Er3RhO8 | PBE | optimized geometry

abc: 6.7373 6.7373 18.6255
angles: 90.00 90.00 120.00
Space group R-3m (No. 166, hexagonal axes)
Unique sites:
K: 0.0000 0.0000 0.0000
K: 0.0000 0.5000 0.0000
Er: 0.0000 0.5000 0.5000
Rh: 0.0000 0.0000 0.5000
O: 0.0000 0.0000 0.2283
O: 0.0087 0.5043 0.2285

crystal system	trigonal

no.,magnetization (μB/f.u.),formation energy from raw total energies (eV/atom)
1,0.00,1.0194
2,1.12,-1.1343
3,0.00,-2.3124